DFT (PBE) results for crystalline MgHg2Te at its relaxed geometry.

The structure in extended XYZ format:
```
12
Lattice="4.3412 0.0000 0.0000 -2.1706 3.7595 0.0000 0.0000 0.0000 19.9222" Properties=species:S:1:pos:R:3 pbc="T T T"
Mg 0.0000 0.0000 0.0000
Mg 0.0000 2.5064 13.2814
Mg 2.1706 1.2532 6.6407
Hg 0.0000 0.0000 5.1075
Hg 0.0000 0.0000 14.8146
Hg 0.0000 2.5064 8.1739
Hg 0.0000 2.5064 18.3890
Hg 2.1706 1.2532 1.5332
Hg 2.1706 1.2532 11.7483
Te 0.0000 0.0000 9.9611
Te 0.0000 2.5064 3.3204
Te 2.1706 1.2532 16.6018
```

## Properties
total magnetic moment	0.0	μB/f.u.
ΔE_f (raw)	-0.43	eV/f.u.
distance to the lowest polymorph of the same formula	173	meV per atom
raw total energy	-1.44	eV/atom
symmetry	No. 166